(1)
{
  "formula": "TaNbInSb2",
  "functional": "PBE-GGA",
  "state": "relaxed",
  "cell": [[5.306, 0.000, 0.000], [0.000, 5.306, 0.000], [0.000, 0.000, 5.090]],
  "species": ["Ta", "Nb", "In", "Sb", "Sb"],
  "frac_coords": [[0.000, 0.000, 0.000], [0.500, 0.500, 0.000], [0.500, 0.500, 0.500], [0.000, 0.500, 0.500], [0.500, 0.000, 0.500]],
  "raw_formation_energy_ev_per_atom": 1.927,
  "spacegroup": "P4/mmm, No. 123"
}

(2)
{
  "formula": "Sc2NbIn",
  "functional": "PBE-GGA",
  "state": "relaxed",
  "cell": [[1.601, 0.924, 9.905], [-1.601, 0.924, 9.905], [0.000, -1.849, 9.905]],
  "species": ["Sc", "Sc", "Nb", "In"],
  "frac_coords": [[0.247, 0.247, 0.247], [0.753, 0.753, 0.753], [0.500, 0.500, 0.500], [0.000, 0.000, 0.000]],
  "spacegroup": "R-3m, No. 166",
  "formation_energy_mev_per_atom": -53
}

(3)
{
  "formula": "ScNbIn",
  "functional": "PBE-GGA",
  "state": "relaxed",
  "cell": [[-1.731, 1.731, 5.252], [1.731, -1.731, 5.252], [1.731, 1.731, -5.252]],
  "species": ["Sc", "Nb", "In"],
  "frac_coords": [[0.000, 0.000, 0.000], [0.663, 0.663, 0.000], [0.324, 0.324, 0.000]],
  "spacegroup": "I4mm, No. 107",
  "formation_energy_mev_per_atom": -27,
  "relative_energy_kj_per_mol_atoms": 14.7
}

(4)
{
  "formula": "ScNbIn2",
  "functional": "PBE-GGA",
  "state": "relaxed",
  "cell": [[-3.919, 3.919, 2.977], [3.919, -3.919, 2.977], [3.919, 3.919, -2.977]],
  "species": ["Sc", "Sc", "Nb", "Nb", "In", "In", "In", "In"],
  "frac_coords": [[0.000, 0.000, 0.000], [0.750, 0.250, 0.500], [0.250, 0.750, 0.500], [0.500, 0.500, 0.000], [0.132, 0.625, 0.007], [0.375, 0.382, 0.507], [0.618, 0.125, 0.993], [0.875, 0.868, 0.493]],
  "spacegroup": "I-42d, No. 122",
  "formation_energy_mev_per_atom": 228,
  "relative_energy_kj_per_mol_atoms": 35.6
}

Number 1: magnetization 0.00 μB per formula unit, total DFT energy (no corrections) -4.654 eV per atom. Number 2: magnetization 0.00 μB per formula unit, total DFT energy (no corrections) -6.421 eV per atom. Number 3: magnetization 0.00 μB per formula unit, total DFT energy (no corrections) -6.406 eV per atom. Number 4: magnetization 0.00 μB per formula unit, total DFT energy (no corrections) -5.242 eV per atom.